# 1
Computed, not measured: a relaxed structure of Zr4ReOs at the PBE level of DFT.

Cell: 3.323 3.323 10.601 Å, 90.00 90.00 90.00°
Positions (direct):
Zr: 0.500 0.500 0.151
Zr: 0.500 0.500 0.849
Zr: 0.000 0.000 0.348
Os: 0.500 0.500 0.500
Zr: 0.000 0.000 0.652
Re: 0.000 0.000 0.000

E_tot: -59.2 eV/cell
Space group: No. 123
Relative energy among the computed polymorphs: 0 meV per atom
ΔE_f: -0.228 eV/atom


# 2
Computed, not measured: a relaxed structure of ZrRe2Os at the PBE level of DFT.

Cell: 2.814 3.964 5.989 Å, 90.00 90.00 90.00°
Positions (direct):
Zr: 0.500 0.500 0.250
Os: 0.500 0.500 0.750
Re: 0.000 0.000 0.535
Re: 0.000 0.000 0.965

E_tot: -44.0 eV/cell
Space group: No. 47
Relative energy among the computed polymorphs: 111 meV per atom
ΔE_f: 0.156 eV/atom


# 3
Computed, not measured: a relaxed structure of Zr2ReOs at the PBE level of DFT.

Cell: 5.331 5.469 2.929 Å, 81.72 78.41 118.25°
Positions (direct):
Os: 0.500 0.500 0.000
Zr: 0.000 0.000 0.000
Zr: 0.000 0.500 0.500
Re: 0.500 0.000 0.500

E_tot: -41.0 eV/cell
Space group: No. 12
ΔE_f: -0.056 eV/atom


# 4
Computed, not measured: a relaxed structure of ZrReOs2 at the PBE level of DFT.

Cell: 3.957 4.031 4.031 Å, 90.00 90.00 90.00°
Positions (direct):
Os: 0.000 0.000 0.000
Zr: 0.500 0.000 0.500
Os: 0.000 0.500 0.500
Re: 0.500 0.500 0.000

E_tot: -43.2 eV/cell
Space group: No. 123
Relative energy among the computed polymorphs: 83 meV per atom
ΔE_f: 0.057 eV/atom


# 5
Computed, not measured: a relaxed structure of ZrRe2Os2 at the PBE level of DFT.

Cell: 7.685 7.685 2.778 Å, 90.00 90.00 90.00°
Positions (direct):
Re: 0.879 0.621 0.000
Os: 0.828 0.328 0.500
Os: 0.672 0.828 0.500
Zr: 0.000 0.000 0.000
Re: 0.621 0.121 0.000
Os: 0.172 0.672 0.500
Re: 0.379 0.879 0.000
Os: 0.328 0.172 0.500
Zr: 0.500 0.500 0.000
Re: 0.121 0.379 0.000

E_tot: -112.0 eV/cell
Space group: No. 127
Relative energy among the computed polymorphs: 19 meV per atom
ΔE_f: -0.022 eV/atom


# 6
Computed, not measured: a relaxed structure of ZrRe2Os at the PBE level of DFT.

Cell: 2.874 3.839 6.044 Å, 90.00 90.00 90.00°
Positions (direct):
Re: 0.500 0.500 0.217
Re: 0.000 0.000 0.999
Os: 0.500 0.500 0.781
Zr: 0.000 0.000 0.504

E_tot: -44.2 eV/cell
Space group: No. 25
Relative energy among the computed polymorphs: 66 meV per atom
ΔE_f: 0.111 eV/atom


# 7
Computed, not measured: a relaxed structure of Zr4ReOs2 at the PBE level of DFT.

Cell: 5.657 5.657 5.657 Å, 109.81 109.30 109.30°
Positions (direct):
Os: 0.500 0.000 0.500
Re: 0.000 0.000 0.000
Os: 0.500 0.500 0.000
Zr: 0.000 0.500 0.000
Zr: 0.000 0.000 0.500
Zr: 0.500 0.500 0.500
Zr: 0.500 0.000 0.000

E_tot: -70.9 eV/cell
Space group: No. 139
ΔE_f: -0.258 eV/atom


# 8
Computed, not measured: a relaxed structure of ZrReOs2 at the PBE level of DFT.

Cell: 2.892 2.892 7.813 Å, 90.00 90.00 90.00°
Positions (direct):
Re: 0.500 0.500 0.250
Zr: 0.500 0.500 0.750
Os: 0.000 0.000 0.027
Os: 0.000 0.000 0.473

E_tot: -43.6 eV/cell
Space group: No. 123
Relative energy among the computed polymorphs: 0 meV per atom
ΔE_f: -0.025 eV/atom


# 9
Computed, not measured: a relaxed structure of Zr2ReOs at the PBE level of DFT.

Cell: 4.464 2.931 5.472 Å, 81.73 90.00 90.00°
Positions (direct):
Os: 0.500 0.250 0.250
Re: 0.500 0.750 0.750
Zr: 0.000 0.505 0.499
Zr: 0.000 0.995 0.001

E_tot: -41.0 eV/cell
Space group: No. 10
ΔE_f: -0.053 eV/atom


# 10
Computed, not measured: a relaxed structure of ZrReOs2 at the PBE level of DFT.

Cell: 4.849 4.849 4.849 Å, 130.51 130.51 72.59°
Positions (direct):
Zr: 0.750 0.250 0.500
Re: 0.250 0.750 0.500
Os: 0.000 0.000 0.000
Os: 0.500 0.500 0.000

E_tot: -43.1 eV/cell
Space group: No. 139
Relative energy among the computed polymorphs: 110 meV per atom
ΔE_f: 0.085 eV/atom


# 11
Computed, not measured: a relaxed structure of ZrReOs2 at the PBE level of DFT.

Cell: 9.599 9.599 9.599 Å, 16.79 16.79 16.79°
Positions (direct):
Os: 0.508 0.508 0.508
Zr: 0.750 0.750 0.750
Os: 0.992 0.992 0.992
Re: 0.250 0.250 0.250

E_tot: -42.7 eV/cell
Space group: No. 166
Relative energy among the computed polymorphs: 206 meV per atom
ΔE_f: 0.181 eV/atom


# 12
Computed, not measured: a relaxed structure of ZrReOs2 at the PBE level of DFT.

Cell: 9.649 9.649 9.649 Å, 16.68 16.68 16.68°
Positions (direct):
Os: 0.250 0.250 0.250
Re: 0.508 0.508 0.508
Os: 0.993 0.993 0.993
Zr: 0.749 0.749 0.749

E_tot: -42.5 eV/cell
Space group: No. 160
Relative energy among the computed polymorphs: 272 meV per atom
ΔE_f: 0.246 eV/atom